Record 1
Entry from Alexandria: crystalline Zn2CuRh at its relaxed geometry (GGA-PBE).

Output
Uncorrected energy (eV/atom): -3.603
ΔH_f (0 K) (eV per formula unit): -0.42

Cell: 2.9552 4.5060 8.3205 Å, 90.00 90.00 90.00°
Closest atoms and distances in Å follow each position.
Space group Cmmm (No. 65)
Unique sites:
Zn 0.0000 0.0000 0.2475 [4 per cell]  2 Cu 2.53, 2 Rh 2.57, 4 Zn 2.69
Cu 0.0000 0.5000 0.0000 [2 per cell]  4 Zn 2.53, 4 Cu 2.69
Rh 0.0000 0.5000 0.5000 [2 per cell]  4 Zn 2.57, 4 Rh 2.69

---

Record 2
Entry from Alexandria: crystalline Zn5CuRh6 at its relaxed geometry (GGA-PBE).

Output
Uncorrected energy (eV/atom): -4.836
ΔH_f (0 K) (eV per formula unit): -3.45

Cell: 4.2765 6.0418 12.8110 Å, 90.00 90.00 90.00°
Closest atoms and distances in Å follow each position.
Space group Immm (No. 71)
Unique sites:
Zn 0.0000 0.0000 0.0000 [2 per cell]  8 Rh 2.61-2.62
Zn 0.0000 0.0000 0.3338 [4 per cell]  8 Rh 2.61-2.63
Zn 0.0000 0.5000 0.3331 [4 per cell]  8 Rh 2.62
Cu 0.0000 0.5000 0.0000 [2 per cell]  8 Rh 2.60-2.61
Rh 0.0000 0.2487 0.5000 [4 per cell]  6 Zn 2.61-2.62, 2 Cu 2.61
Rh 0.0000 0.2511 0.1657 [8 per cell]  1 Cu 2.60, 7 Zn 2.61-2.63

---

Record 3
Entry from Alexandria: crystalline Zn2CuRh at its relaxed geometry (GGA-PBE).

Output
Uncorrected energy (eV/atom): -3.300
ΔH_f (0 K) (eV per formula unit): 0.79

Cell: 2.6846 4.4484 9.9691 Å, 90.00 90.00 90.00°
Closest atoms and distances in Å follow each position.
Space group Immm (No. 71)
Unique sites:
Zn 0.0000 0.0000 0.2456 [4 per cell]  1 Cu 2.45, 1 Rh 2.54, 6 Zn 2.60-2.68
Cu 0.0000 0.0000 0.0000 [2 per cell]  2 Zn 2.45, 4 Rh 2.60, 2 Cu 2.68
Rh 0.0000 0.0000 0.5000 [2 per cell]  2 Zn 2.54, 4 Cu 2.60, 2 Rh 2.68

---

Record 4
Entry from Alexandria: crystalline Zn3CuRh at its relaxed geometry (GGA-PBE).

Output
Distance to the lowest polymorph of the same formula (meV per atom): 710
Uncorrected energy (eV/atom): -2.576
ΔH_f (0 K) (eV per formula unit): 2.39

Cell: 4.7324 4.7324 4.7324 Å, 90.00 90.00 90.00°
Closest atoms and distances in Å follow each position.
Space group Pm-3m (No. 221)
Unique sites:
Zn 0.0000 0.0000 0.5000 [3 per cell]  2 Rh 2.37
Cu 0.5000 0.5000 0.5000 [1 per cell]  12 Zn 3.35
Rh 0.0000 0.0000 0.0000 [1 per cell]  6 Zn 2.37